1.
Here is crystalline Lu2TcNi at its relaxed geometry from OQMD via LeMat-Bulk. Energies are from GGA-PBE.

```
4
Lattice="0.000 3.320 3.320 3.320 0.000 3.320 3.320 3.320 0.000" Properties=species:S:1:pos:R:3 pbc="T T T"
Lu 0.000 0.000 0.000
Lu 1.660 1.660 1.660
Tc 3.320 3.320 3.320
Ni 4.980 4.980 4.980
```

energy of formation from the pure elements	202	meV per atom

***

2.
Here is crystalline LuTlTcNi at its relaxed geometry from OQMD via LeMat-Bulk. Energies are from GGA-PBE.

```
4
Lattice="0.000 3.293 3.293 3.293 0.000 3.293 3.293 3.293 0.000" Properties=species:S:1:pos:R:3 pbc="T T T"
Lu 0.000 0.000 0.000
Tl 3.293 3.293 3.293
Tc 1.647 1.647 1.647
Ni 4.940 4.940 4.940
```

ΔE to the lowest computed polymorph	0	meV per atom

***

3.
Here is crystalline LuTlTcNi at its relaxed geometry from OQMD via LeMat-Bulk. Energies are from GGA-PBE.

```
4
Lattice="0.000 3.337 3.337 3.337 0.000 3.337 3.337 3.337 0.000" Properties=species:S:1:pos:R:3 pbc="T T T"
Lu 0.000 0.000 0.000
Tl 1.668 1.668 1.668
Tc 5.005 5.005 5.005
Ni 3.337 3.337 3.337
```

ΔE to the lowest computed polymorph	254	meV per atom

***

4.
Here is crystalline LuZnTcNi at its relaxed geometry from OQMD via LeMat-Bulk. Energies are from GGA-PBE.

```
4
Lattice="0.000 3.184 3.184 3.184 0.000 3.184 3.184 3.184 0.000" Properties=species:S:1:pos:R:3 pbc="T T T"
Lu 0.000 0.000 0.000
Zn 1.592 1.592 1.592
Tc 4.776 4.776 4.776
Ni 3.184 3.184 3.184
```

ΔE to the lowest computed polymorph	162	meV per atom
energy of formation from the pure elements	180	meV per atom